Computed, not measured: a geometry-optimized Ba2SrLiAs structure at the GGA-PBE level of DFT. Values from VASP.

The structure in Quantum ESPRESSO input format:
```
&SYSTEM
  ibrav = 0, nat = 5, ntyp = 4
/
ATOMIC_SPECIES
As 74.92 As.upf
Ba 137.33 Ba.upf
Sr 87.62 Sr.upf
Li 6.94 Li.upf
CELL_PARAMETERS angstrom
6.4627 0.0000 0.0000
0.0000 6.4627 0.0000
0.0000 0.0000 6.0793
ATOMIC_POSITIONS crystal
As 0.0000 0.0000 0.0000
Ba 0.0000 0.5000 0.0000
Ba 0.5000 0.0000 0.0000
Sr 0.0000 0.0000 0.5000
Li 0.5000 0.5000 0.5000
```

Computed properties:
Space group: P4/mmm
DFT formation energy: -0.4327 eV per atom